# 1
VASP calculation (PBE) on crystalline TlNi3 at its relaxed geometry.

Results
E = -18.38 eV/f.u.
Magnetization = 0.34 μB per formula unit
DOS(E_F) = 1.948 states/eV per atom

Cell lengths 4.8047, 4.8047, 4.8047 Å; angles 90.00, 90.00, 90.00 degrees
Closest atoms and distances in Å follow each position.
Sites, in units of the cell vectors:
Ni (0.0000, 0.2500, 0.5000)  2 Ni 2.40, 4 Tl 2.69
Ni (0.2500, 0.5000, 0.0000)  2 Ni 2.40, 4 Tl 2.69
Ni (0.0000, 0.7500, 0.5000)  2 Ni 2.40, 4 Tl 2.69
Ni (0.5000, 0.0000, 0.2500)  2 Ni 2.40, 4 Tl 2.69
Ni (0.7500, 0.5000, 0.0000)  2 Ni 2.40, 4 Tl 2.69
Ni (0.5000, 0.0000, 0.7500)  2 Ni 2.40, 4 Tl 2.69
Tl (0.0000, 0.0000, 0.0000)  12 Ni 2.69
Tl (0.5000, 0.5000, 0.5000)  12 Ni 2.69

# 2
VASP calculation (PBE) on crystalline Mg2TcOs at its relaxed geometry.

Results
E = -21.32 eV/f.u.
Magnetization = 0.00 μB per formula unit
DOS(E_F) = 0.798 states/eV per atom
ΔE to the lowest computed polymorph = 0.848 eV/atom

Cell lengths 7.2107, 7.2107, 5.7294 Å; angles 51.00, 51.00, 90.00 degrees
Closest atoms and distances in Å follow each position.
Sites, in units of the cell vectors:
Tc (0.2500, 0.7500, 0.5000)  2 Os 2.61, 4 Mg 2.65
Tc (0.5000, 0.5000, 0.0000)  2 Os 2.61, 4 Mg 2.65
Mg (0.1206, 0.6250, 0.2500)  2 Os 2.61, 2 Mg 2.61, 2 Tc 2.65
Mg (0.8750, 0.8794, 0.7500)  2 Os 2.61, 2 Mg 2.61, 2 Tc 2.65
Mg (0.3750, 0.3706, 0.7500)  2 Os 2.61, 2 Mg 2.61, 2 Tc 2.65
Mg (0.6294, 0.1250, 0.2500)  2 Os 2.61, 2 Mg 2.61, 2 Tc 2.65
Os (0.0000, 0.0000, 0.0000)  4 Mg 2.61, 2 Tc 2.61
Os (0.7500, 0.2500, 0.5000)  4 Mg 2.61, 2 Tc 2.61

# 3
VASP calculation (PBE) on crystalline CsCu2GeS4 at its relaxed geometry.

Results
E = -32.99 eV/f.u.
Formation energy (no corrections) = -2.816 eV per formula unit
Magnetization = 0.00 μB per formula unit
DOS(E_F) = 0.827 states/eV per atom

Cell lengths 6.4208, 6.4208, 6.4208 Å; angles 120.81, 120.81, 88.61 degrees
Closest atoms and distances in Å follow each position.
Sites, in units of the cell vectors:
S (0.3518, 0.9704, 0.0000)  1 Ge 2.26, 2 Cu 2.45
S (0.9704, 0.3518, 0.0000)  1 Ge 2.26, 2 Cu 2.45
S (0.0296, 0.0296, 0.3814)  1 Ge 2.26, 2 Cu 2.45
S (0.6482, 0.6482, 0.6186)  1 Ge 2.26, 2 Cu 2.45
Cs (0.5000, 0.5000, 0.0000)  4 S 3.14
Cu (0.7500, 0.2500, 0.5000)  4 S 2.45
Cu (0.2500, 0.7500, 0.5000)  4 S 2.45
Ge (0.0000, 0.0000, 0.0000)  4 S 2.26

Q: DOS(E_F) of number 2 (Mg2TcOs)?
A: 0.798 states/eV per atom

Repeat the second record exactly.
VASP calculation (PBE) on crystalline Mg2TcOs at its relaxed geometry.

Results
E = -21.32 eV/f.u.
Magnetization = 0.00 μB per formula unit
DOS(E_F) = 0.798 states/eV per atom
ΔE to the lowest computed polymorph = 0.848 eV/atom

Cell lengths 7.2107, 7.2107, 5.7294 Å; angles 51.00, 51.00, 90.00 degrees
Closest atoms and distances in Å follow each position.
Sites, in units of the cell vectors:
Tc (0.2500, 0.7500, 0.5000)  2 Os 2.61, 4 Mg 2.65
Tc (0.5000, 0.5000, 0.0000)  2 Os 2.61, 4 Mg 2.65
Mg (0.1206, 0.6250, 0.2500)  2 Os 2.61, 2 Mg 2.61, 2 Tc 2.65
Mg (0.8750, 0.8794, 0.7500)  2 Os 2.61, 2 Mg 2.61, 2 Tc 2.65
Mg (0.3750, 0.3706, 0.7500)  2 Os 2.61, 2 Mg 2.61, 2 Tc 2.65
Mg (0.6294, 0.1250, 0.2500)  2 Os 2.61, 2 Mg 2.61, 2 Tc 2.65
Os (0.0000, 0.0000, 0.0000)  4 Mg 2.61, 2 Tc 2.61
Os (0.7500, 0.2500, 0.5000)  4 Mg 2.61, 2 Tc 2.61

Q: Which value of DOS(E_F) does entry 2 give?
A: 0.798 states/eV per atom